[1]
AgH2Cl4: optimized geometry, GGA-PBE.

Lattice parameters (Å, degrees): 10.7605 10.7605 10.7605 153.83 153.83 37.35
Sites, in units of the cell vectors:
Ag: 0.0000 0.0000 0.0000
H: 0.2595 0.2595 0.0000
H: 0.7405 0.7405 0.0000
Cl: 0.0000 0.5000 0.5000
Cl: 0.1964 0.1964 0.0000
Cl: 0.5000 0.0000 0.5000
Cl: 0.8036 0.8036 0.0000

As for the energy above the most stable polymorph in this dataset: 60 meV/atom. As for the space group: I4/mmm (139). The volume comes out at 34.570 Å³/atom.

---

[2]
Ag2H3Cl6: optimized geometry, GGA-PBE.

Lattice parameters (Å, degrees): 7.3498 7.6320 10.9973 102.09 92.32 93.50
Sites, in units of the cell vectors:
Ag: 0.0233 0.2469 0.0044
Ag: 0.3428 0.6506 0.5319
Ag: 0.6572 0.3494 0.4681
Ag: 0.9767 0.7531 0.9956
H: 0.0211 0.6548 0.3311
H: 0.2462 0.9633 0.7543
H: 0.4513 0.3643 0.1520
H: 0.5487 0.6357 0.8480
H: 0.7538 0.0367 0.2457
H: 0.9789 0.3452 0.6689
Cl: 0.0053 0.9563 0.8417
Cl: 0.0070 0.4513 0.8503
Cl: 0.0278 0.7384 0.4520
Cl: 0.3975 0.9736 0.6925
Cl: 0.4378 0.2634 0.0390
Cl: 0.4896 0.4634 0.6630
Cl: 0.5104 0.5366 0.3370
Cl: 0.5622 0.7366 0.9610
Cl: 0.6025 0.0264 0.3075
Cl: 0.9722 0.2616 0.5480
Cl: 0.9930 0.5487 0.1497
Cl: 0.9947 0.0437 0.1583

As for the space group: P-1 (2). The volume comes out at 27.326 Å³/atom. Its total energy is -63.1 eV/cell.